Version w
Computed, not measured: crystalline Th2HgBi at its relaxed geometry at the PBE level of DFT.

Computed properties:
**Crystal system**: cubic
**Total moment**: 0.0 μB per formula unit

Lattice parameters (Å, degrees): 7.7976 7.7976 7.7976 90.00 90.00 90.00
With the nearest neighbours (Å) after each atom.
Space group Fm-3m (No. 225)
Asymmetric unit:
Th: 0.2500 0.2500 0.2500  4 Hg 3.38, 4 Bi 3.38
Hg: 0.0000 0.0000 0.0000  8 Th 3.38
Bi: 0.0000 0.0000 0.5000  8 Th 3.38

Version x
Computed, not measured: crystalline Th2HgBi at its relaxed geometry at the PBE level of DFT.

Computed properties:
**Crystal system**: trigonal
**Total moment**: 0.0 μB per formula unit

Lattice parameters (Å, degrees): 4.4349 4.4349 23.1404 90.00 90.00 120.00
With the nearest neighbours (Å) after each atom.
Space group R-3m (No. 166, hexagonal axes)
Asymmetric unit:
Th: 0.0000 0.0000 0.2466  3 Hg 3.16, 3 Bi 3.25
Hg: 0.0000 0.0000 0.5000  6 Th 3.16
Bi: 0.0000 0.0000 0.0000  6 Th 3.25

Least stable structure: version w

Version w
Computed, not measured: crystalline ThHgBi2 at its relaxed geometry at the PBE level of DFT.

Computed properties:
**Crystal system**: tetragonal
**Total moment**: 0.0 μB per formula unit

Lattice parameters (Å, degrees): 4.2704 4.2704 6.7499 90.00 90.00 90.00
With the nearest neighbours (Å) after each atom.
Space group P4/mmm (No. 123)
Asymmetric unit:
Th: 0.0000 0.0000 0.0000  2 Hg 3.37, 8 Bi 3.41
Hg: 0.0000 0.0000 0.5000  2 Th 3.37, 8 Bi 3.51
Bi: 0.5000 0.5000 0.2357  1 Bi 3.18, 4 Th 3.41, 4 Hg 3.51

Version x
Computed, not measured: crystalline ThHgBi2 at its relaxed geometry at the PBE level of DFT.

Computed properties:
**Crystal system**: tetragonal
**Total moment**: 0.0 μB per formula unit

Lattice parameters (Å, degrees): 5.0184 5.0184 4.5653 90.00 90.00 90.00
With the nearest neighbours (Å) after each atom.
Space group P4/mmm (No. 123)
Asymmetric unit:
Th: 0.0000 0.0000 0.0000  8 Bi 3.39, 4 Hg 3.55
Hg: 0.5000 0.5000 0.0000  8 Bi 3.39, 4 Th 3.55
Bi: 0.0000 0.5000 0.5000  4 Hg 3.39, 4 Th 3.39, 4 Bi 3.55

Least stable structure: version w

Version w
Computed, not measured: crystalline Th4HgBi at its relaxed geometry at the PBE level of DFT.

Computed properties:
**Crystal system**: monoclinic
**Total moment**: 0.0 μB per formula unit

Lattice parameters (Å, degrees): 5.8859 5.8862 10.6973 90.00 90.06 90.00
With the nearest neighbours (Å) after each atom.
Space group C2/m (No. 12)
Asymmetric unit:
Th: 0.9997 0.0000 0.1491  1 Th 3.19, 4 Hg 3.34-3.35
Th: 0.9999 0.5000 0.3413  5 Th 3.40-3.59, 4 Bi 3.40, 1 Hg 3.65
Hg: 0.0000 0.5000 0.0000  10 Th 3.34-3.65
Bi: 0.0000 0.0000 0.5000  10 Th 3.40-3.75

Version x
Computed, not measured: crystalline Th4HgBi at its relaxed geometry at the PBE level of DFT.

Computed properties:
**Crystal system**: tetragonal
**Total moment**: 0.0 μB per formula unit

Lattice parameters (Å, degrees): 7.6888 7.6888 6.3527 90.00 90.00 90.00
With the nearest neighbours (Å) after each atom.
Space group P4/mcc (No. 124)
Asymmetric unit:
Th: 0.1470 0.3432 0.0000  2 Hg 3.28, 1 Th 3.31, 2 Bi 3.37
Hg: 0.0000 0.0000 0.2500  2 Hg 3.18, 8 Th 3.28
Bi: 0.5000 0.5000 0.2500  2 Bi 3.18, 8 Th 3.37

Least stable structure: version w

Version w
Computed, not measured: crystalline Tl4Hg5Bi at its relaxed geometry at the PBE level of DFT.

Computed properties:
**Crystal system**: tetragonal
**Total moment**: 0.0 μB per formula unit

Lattice parameters (Å, degrees): 9.7609 9.7609 6.5237 90.00 90.00 90.00
With the nearest neighbours (Å) after each atom.
Space group I4 (No. 79)
Asymmetric unit:
Tl: 0.0726 0.3063 0.0000  6 Hg 3.17-3.52, 1 Bi 3.37
Hg: 0.0000 0.0000 0.7383  2 Bi 3.09-3.43, 4 Hg 3.14
Hg: 0.1020 0.2614 0.5016  1 Hg 3.14, 5 Tl 3.17-3.31, 1 Bi 3.33
Bi: 0.0000 0.0000 0.2122  6 Hg 3.09-3.43, 4 Tl 3.37

Version x
Computed, not measured: crystalline Tl4Hg5Bi at its relaxed geometry at the PBE level of DFT.

Computed properties:
**Crystal system**: tetragonal
**Total moment**: 0.0 μB per formula unit

Lattice parameters (Å, degrees): 3.4431 3.4431 24.1686 90.00 90.00 90.00
With the nearest neighbours (Å) after each atom.
Space group P4/mmm (No. 123)
Asymmetric unit:
Tl: 0.0000 0.0000 0.1007  8 Hg 3.43-3.44, 4 Tl 3.44
Tl: 0.0000 0.0000 0.3035  8 Hg 3.37-3.48, 4 Tl 3.44
Hg: 0.5000 0.5000 0.0000  8 Tl 3.44, 4 Hg 3.44
Hg: 0.5000 0.5000 0.2006  8 Tl 3.43-3.48, 4 Hg 3.44
Hg: 0.5000 0.5000 0.4001  4 Tl 3.37, 4 Bi 3.43, 4 Hg 3.44
Bi: 0.0000 0.0000 0.5000  8 Hg 3.43, 4 Bi 3.44

Least stable structure: version w

Version w
Computed, not measured: crystalline Tl6HgBi2 at its relaxed geometry at the PBE level of DFT.

Computed properties:
**Crystal system**: monoclinic
**Total moment**: 0.0 μB per formula unit

Lattice parameters (Å, degrees): 10.6962 5.2248 10.2945 90.00 99.73 90.00
With the nearest neighbours (Å) after each atom.
Space group C2/m (No. 12)
Asymmetric unit:
Tl: 0.0141 0.0000 0.3213  1 Hg 3.29, 3 Bi 3.43-3.47, 3 Tl 3.49-3.56
Tl: 0.1518 0.5000 0.8952  3 Hg 3.35-3.70, 4 Bi 3.39-3.64, 3 Tl 3.49-3.69
Tl: 0.1609 0.5000 0.5578  3 Bi 3.45-3.62, 9 Tl 3.45-3.73
Hg: 0.0000 0.0000 0.0000  6 Tl 3.29-3.35
Bi: 0.1872 0.5000 0.2287  10 Tl 3.39-3.64

Version x
Computed, not measured: crystalline Tl6HgBi2 at its relaxed geometry at the PBE level of DFT.

Computed properties:
**Crystal system**: hexagonal
**Total moment**: 0.0 μB per formula unit

Lattice parameters (Å, degrees): 3.5502 3.5502 26.0614 90.00 90.00 120.00
With the nearest neighbours (Å) after each atom.
Space group P-6m2 (No. 187)
Asymmetric unit:
Tl: 0.0000 0.0000 0.0684  3 Bi 3.49, 7 Tl 3.55-3.57
Tl: 0.0000 0.0000 0.2870  3 Bi 3.53, 9 Tl 3.55-3.60
Tl: 0.3333 0.6667 0.4008  3 Hg 3.30, 9 Tl 3.55-3.60
Hg: 0.0000 0.0000 0.5000  6 Tl 3.30, 6 Hg 3.55
Bi: 0.3333 0.6667 0.1769  6 Tl 3.49-3.53, 6 Bi 3.55

Least stable structure: version x

Version w
Computed, not measured: crystalline Tl4HgBi at its relaxed geometry at the PBE level of DFT.

Computed properties:
**Crystal system**: monoclinic
**Total moment**: 0.0 μB per formula unit

Lattice parameters (Å, degrees): 9.6397 14.3815 5.9972 90.00 111.35 90.00
With the nearest neighbours (Å) after each atom.
Space group C2/c (No. 15)
Asymmetric unit:
Tl: 0.1380 0.1933 0.1364  1 Hg 3.22, 2 Bi 3.37-3.43, 4 Tl 3.39-3.55
Tl: 0.1914 0.4246 0.3455  2 Hg 3.29-3.44, 3 Tl 3.39-3.53, 3 Bi 3.41-3.63
Hg: 0.0000 0.0306 0.7500  2 Hg 3.13, 6 Tl 3.22-3.44
Bi: 0.0000 0.3704 0.7500  10 Tl 3.37-3.63

Version x
Computed, not measured: crystalline Tl4HgBi at its relaxed geometry at the PBE level of DFT.

Computed properties:
**Crystal system**: cubic
**Total moment**: 0.0 μB per formula unit

Lattice parameters (Å, degrees): 9.1904 9.1904 9.1904 90.00 90.00 90.00
With the nearest neighbours (Å) after each atom.
Space group F-43m (No. 216)
Asymmetric unit:
Tl: 0.1254 0.1254 0.1254  6 Tl 3.24-3.26
Hg: 0.2500 0.2500 0.7500  12 Tl 3.81, 4 Bi 3.98
Bi: 0.0000 0.0000 0.5000  12 Tl 3.81, 4 Hg 3.98

Least stable structure: version x